No. 1
Below is a geometry-optimized KSiAs2 structure, with properties calculated at the GGA-PBE level.

The structure in POSCAR format:
```
KSiAs2
1.0
3.597 0.000 0.000
-1.799 3.116 0.000
0.000 0.000 24.883
K Si As
3 3 6
Cartesian
0.000 0.000 0.000
0.000 2.077 16.588
1.799 1.038 8.294
0.000 0.000 12.441
0.000 2.077 4.147
1.799 1.038 20.735
0.000 0.000 5.625
0.000 0.000 19.258
0.000 2.077 10.963
0.000 2.077 22.213
1.799 1.038 2.669
1.799 1.038 13.919
```

Summary:
For the density of states at the Fermi level, the calculation gives 0.1112 states/eV per atom. The calculation puts the raw total energy at -4.035 eV/atom. As for the magnetic moment: 0.00 μB/cell. Its crystal system is trigonal.



No. 2
Below is a geometry-optimized KSiAs2 structure, with properties calculated at the GGA-PBE level.

The structure in POSCAR format:
```
KSiAs2
1.0
3.452 0.000 0.000
0.000 6.364 0.000
0.000 0.000 9.432
K Si As
2 2 4
Cartesian
0.000 0.000 0.000
1.726 3.182 4.716
0.000 0.000 4.716
1.726 3.182 0.000
0.000 3.182 1.712
0.000 3.182 7.720
1.726 0.000 3.004
1.726 0.000 6.428
```

Summary:
For the density of states at the Fermi level, the calculation gives 0.7331 states/eV per atom. The calculation puts the raw total energy at -3.844 eV/atom. As for the magnetic moment: 0.00 μB/cell. Its crystal system is orthorhombic.



No. 3
Below is a geometry-optimized KSiAs2 structure, with properties calculated at the GGA-PBE level.

The structure in POSCAR format:
```
KSiAs2
1.0
3.819 0.000 0.000
0.000 3.819 0.000
0.000 0.000 6.763
K Si As
1 1 2
Cartesian
0.000 0.000 0.000
0.000 0.000 3.381
1.909 1.909 2.212
1.909 1.909 4.550
```

Summary:
For the density of states at the Fermi level, the calculation gives 0.4989 states/eV per atom. The calculation puts the raw total energy at -3.864 eV/atom. As for the magnetic moment: 0.00 μB/cell. Its crystal system is tetragonal.



No. 4
Below is a geometry-optimized KSiAs2 structure, with properties calculated at the GGA-PBE level.

The structure in POSCAR format:
```
KSiAs2
1.0
7.127 0.000 0.000
0.000 7.127 0.000
0.000 0.000 7.127
K Si As
4 4 8
Cartesian
0.000 0.000 0.000
0.000 3.564 3.564
3.564 0.000 3.564
3.564 3.564 0.000
1.782 1.782 5.345
1.782 5.345 1.782
5.345 1.782 1.782
5.345 5.345 5.345
0.000 0.000 3.564
0.000 3.564 0.000
1.782 1.782 1.782
1.782 5.345 5.345
3.564 0.000 0.000
3.564 3.564 3.564
5.345 1.782 5.345
5.345 5.345 1.782
```

Summary:
For the density of states at the Fermi level, the calculation gives 0.9218 states/eV per atom. The calculation puts the raw total energy at -3.406 eV/atom. As for the magnetic moment: 0.00 μB/cell. Its crystal system is cubic.



No. 5
Below is a geometry-optimized KSi2As structure, with properties calculated at the GGA-PBE level.

The structure in POSCAR format:
```
KSi2As
1.0
3.222 0.000 0.000
0.000 4.686 0.000
-0.948 0.000 6.499
K Si As
1 2 1
Cartesian
0.000 0.000 0.000
0.312 2.343 4.178
1.963 2.343 2.321
1.137 0.000 3.249
```

Summary:
For the density of states at the Fermi level, the calculation gives 0.4088 states/eV per atom. The calculation puts the raw total energy at -3.923 eV/atom. As for the magnetic moment: 0.00 μB/cell. Its crystal system is monoclinic.



No. 6
Below is a geometry-optimized KSi2As structure, with properties calculated at the GGA-PBE level.

The structure in POSCAR format:
```
KSi2As
1.0
6.095 0.000 0.000
0.000 10.823 0.000
-0.923 0.000 2.536
K Si As
2 4 2
Cartesian
0.000 0.000 0.000
3.047 5.412 0.000
1.524 2.706 0.000
1.524 8.117 0.000
4.571 2.706 0.000
4.571 8.117 0.000
0.000 5.412 0.000
3.047 0.000 0.000
```

Summary:
For the density of states at the Fermi level, the calculation gives 0.3269 states/eV per atom. The calculation puts the raw total energy at -3.596 eV/atom. As for the magnetic moment: 0.00 μB/cell. Its crystal system is monoclinic.



No. 7
Below is a geometry-optimized KSi2As structure, with properties calculated at the GGA-PBE level.

The structure in POSCAR format:
```
KSi2As
1.0
3.409 0.000 0.000
0.000 5.769 0.000
0.000 0.000 9.787
K Si As
2 4 2
Cartesian
0.000 0.000 0.000
1.705 2.884 4.894
0.000 2.884 1.853
0.000 2.884 7.934
1.705 0.000 3.040
1.705 0.000 6.747
0.000 0.000 4.894
1.705 2.884 0.000
```

Summary:
For the density of states at the Fermi level, the calculation gives 0.6851 states/eV per atom. The calculation puts the raw total energy at -3.742 eV/atom. As for the magnetic moment: 0.00 μB/cell. Its crystal system is orthorhombic.



No. 8
Below is a geometry-optimized KSi2As structure, with properties calculated at the GGA-PBE level.

The structure in POSCAR format:
```
KSi2As
1.0
2.927 0.000 0.000
0.000 4.581 0.000
0.000 0.000 6.546
K Si As
1 2 1
Cartesian
0.000 0.000 0.000
1.454 0.000 3.151
1.467 2.290 2.094
1.464 2.290 4.496
```

Summary:
For the density of states at the Fermi level, the calculation gives 0.4062 states/eV per atom. The calculation puts the raw total energy at -3.980 eV/atom. As for the magnetic moment: 0.00 μB/cell. Its crystal system is monoclinic.



No. 9
Below is a geometry-optimized KSi2As structure, with properties calculated at the GGA-PBE level.

The structure in POSCAR format:
```
KSi2As
1.0
3.701 0.000 0.000
-1.850 3.205 0.000
0.000 0.000 25.356
K Si As
3 6 3
Cartesian
0.000 0.000 0.000
0.000 2.137 16.904
1.850 1.068 8.452
0.000 0.000 5.685
0.000 0.000 19.670
0.000 2.137 11.218
0.000 2.137 22.589
1.850 1.068 2.766
1.850 1.068 14.137
0.000 0.000 12.678
0.000 2.137 4.226
1.850 1.068 21.130
```

Summary:
For the density of states at the Fermi level, the calculation gives 0.6934 states/eV per atom. The calculation puts the raw total energy at -3.743 eV/atom. As for the magnetic moment: 0.00 μB/cell. Its crystal system is trigonal.



No. 10
Below is a geometry-optimized KSiAs structure, with properties calculated at the GGA-PBE level.

The structure in POSCAR format:
```
KSiAs
1.0
5.023 0.000 0.000
0.000 13.813 0.000
0.000 0.000 5.232
K Si As
4 4 4
Cartesian
0.000 2.051 0.000
0.000 11.762 0.000
2.511 4.855 0.000
2.511 8.958 0.000
1.107 0.000 2.616
1.404 6.907 2.616
3.619 6.907 2.616
3.915 0.000 2.616
0.000 4.994 2.616
0.000 8.820 2.616
2.511 1.913 2.616
2.511 11.900 2.616
```

Summary:
For the density of states at the Fermi level, the calculation gives 0.0958 states/eV per atom. The calculation puts the raw total energy at -3.886 eV/atom. As for the magnetic moment: 0.00 μB/cell. Its crystal system is orthorhombic.



No. 11
Below is a geometry-optimized KSiAs2 structure, with properties calculated at the GGA-PBE level.

The structure in POSCAR format:
```
KSiAs2
1.0
3.438 0.000 0.000
0.000 5.769 0.000
0.000 0.000 9.917
K Si As
2 2 4
Cartesian
0.000 0.000 0.000
1.719 2.885 4.958
0.000 2.885 7.975
1.719 0.000 3.017
0.000 0.000 4.827
0.000 2.885 1.845
1.719 0.000 6.803
1.719 2.885 9.786
```

Summary:
For the density of states at the Fermi level, the calculation gives 0.5605 states/eV per atom. The calculation puts the raw total energy at -3.707 eV/atom. As for the magnetic moment: 0.00 μB/cell. Its crystal system is orthorhombic.



No. 12
Below is a geometry-optimized KSi2As structure, with properties calculated at the GGA-PBE level.

The structure in POSCAR format:
```
KSi2As
1.0
4.341 0.000 0.000
0.000 4.341 0.000
0.000 0.000 8.894
K Si As
2 4 2
Cartesian
0.000 0.000 0.000
2.171 2.171 4.447
0.000 0.000 4.447
0.000 2.171 6.671
2.171 0.000 2.224
2.171 2.171 0.000
0.000 2.171 2.224
2.171 0.000 6.671
```

Summary:
For the density of states at the Fermi level, the calculation gives 0.4211 states/eV per atom. The calculation puts the raw total energy at -3.548 eV/atom. As for the magnetic moment: 0.00 μB/cell. Its crystal system is tetragonal.



no.,E_form (uncorrected) (eV/atom)
1,-0.08
2,0.11
3,0.09
4,0.55
5,0.23
6,0.55
7,0.41
8,0.17
9,0.41
10,-0.16
11,0.25
12,0.60